This record from the Alexandria database describes a relaxed structure of SmHo4Bi2. The functional is GGA-PBE. Values from VASP.

Quantum ESPRESSO input file:
```
&SYSTEM
  ibrav = 0, nat = 7, ntyp = 3
/
ATOMIC_SPECIES
Sm 150.36 Sm.upf
Ho 164.93 Ho.upf
Bi 208.98 Bi.upf
CELL_PARAMETERS angstrom
5.355 0.000 0.000
0.000 5.355 0.000
-2.677 -2.677 8.341
ATOMIC_POSITIONS crystal
Sm 0.000 0.000 0.000
Ho 0.819 0.819 0.638
Ho 0.181 0.181 0.362
Ho 0.000 0.500 0.000
Ho 0.500 0.000 0.000
Bi 0.635 0.635 0.269
Bi 0.365 0.365 0.731
```

## Properties
Calculated density: 8.5 Mg/m³
E_tot: -4.057 eV per atom
Magnetization: 0.00 μB/atom
E_form: 2.4 eV/f.u.